Below is an optimized crystal structure of SbMoBr2, with properties calculated at the PBE-GGA level.

Lattice parameters (Å, degrees): 3.151 3.151 10.164 90.00 90.00 90.00
Fractional positions:
Sb 0.000 0.000 0.000
Mo 0.500 0.500 0.811
Br 0.000 0.000 0.657
Br 0.500 0.500 0.334

- calculated volume (Å³/atom) = 25.2
- formation energy from raw total energies (meV per atom) = 190
- total magnetization (μB/f.u.) = 0.00
- total energy (eV per formula unit) = -17.54
- mass density (Mg/m³) = 6.21
- N(E_F) (states/eV per cell) = 3.33
- symmetry = P4mm, No. 99

***

Below is an optimized crystal structure of CsK14Pt, with properties calculated at the PBE-GGA level.

Lattice parameters (Å, degrees): 11.650 9.747 9.747 80.62 90.00 90.00
Fractional positions:
Cs 0.000 0.000 0.000
K 0.000 0.527 0.981
K 0.000 0.981 0.527
K 0.176 0.357 0.685
K 0.176 0.685 0.357
K 0.241 0.248 0.248
K 0.243 0.759 0.759
K 0.500 0.004 0.505
K 0.500 0.006 0.006
K 0.500 0.500 0.500
K 0.500 0.505 0.004
K 0.757 0.759 0.759
K 0.759 0.248 0.248
K 0.824 0.357 0.685
K 0.824 0.685 0.357
Pt 0.000 0.644 0.644

- calculated volume (Å³/atom) = 68.2
- total magnetization (μB/f.u.) = 0.00
- energy of formation (eV/atom) = 0.031
- total energy (eV per formula unit) = -21.76
- mass density (Mg/m³) = 1.33
- N(E_F) (states/eV per cell) = 10.94
- symmetry = Amm2, No. 38

***

Below is an optimized crystal structure of CeDy5Tm8, with properties calculated at the PBE-GGA level.

Lattice parameters (Å, degrees): 8.332 8.332 8.332 111.37 111.37 105.73
Fractional positions:
Ce 0.000 0.000 0.000
Dy 0.215 0.616 0.176
Dy 0.384 0.560 0.599
Dy 0.440 0.039 0.824
Dy 0.750 0.250 0.500
Dy 0.961 0.785 0.401
Tm 0.087 0.674 0.763
Tm 0.170 0.275 0.752
Tm 0.326 0.089 0.412
Tm 0.524 0.418 0.248
Tm 0.582 0.830 0.105
Tm 0.676 0.913 0.588
Tm 0.725 0.476 0.895
Tm 0.911 0.324 0.237

- calculated volume (Å³/atom) = 31.7
- total magnetization (μB/f.u.) = 1.67
- energy of formation (eV/atom) = 0.271
- total energy (eV per formula unit) = -60.92
- mass density (Mg/m³) = 8.62
- N(E_F) (states/eV per cell) = 25.47
- symmetry = I-4, No. 82

***

Below is an optimized crystal structure of Li2MgCd, with properties calculated at the PBE-GGA level.

Lattice parameters (Å, degrees): 3.925 4.574 8.556 90.00 90.00 90.00
Fractional positions:
Li 0.000 0.000 0.000
Li 0.000 0.500 0.261
Li 0.500 0.000 0.761
Li 0.500 0.500 0.500
Mg 0.000 0.500 0.754
Mg 0.500 0.000 0.254
Cd 0.000 0.000 0.515
Cd 0.500 0.500 0.015

- calculated volume (Å³/atom) = 19.2
- total magnetization (μB/f.u.) = 0.00
- energy of formation (eV/atom) = -0.174
- total energy (eV per formula unit) = -7.03
- mass density (Mg/m³) = 3.26
- N(E_F) (states/eV per cell) = 2.51
- symmetry = Imm2, No. 44

***

Below is an optimized crystal structure of La8Tb2Tm3, with properties calculated at the PBE-GGA level.

Lattice parameters (Å, degrees): 10.991 10.991 5.799 90.02 90.02 41.27
Fractional positions:
La 0.095 0.697 0.000
La 0.175 0.175 0.501
La 0.303 0.905 0.000
La 0.371 0.371 0.501
La 0.629 0.629 0.499
La 0.697 0.095 0.000
La 0.825 0.825 0.499
La 0.905 0.303 0.000
Tb 0.261 0.261 0.001
Tb 0.739 0.739 0.999
Tm 0.216 0.784 0.500
Tm 0.500 0.500 0.000
Tm 0.784 0.216 0.500

- calculated volume (Å³/atom) = 35.5
- total magnetization (μB/f.u.) = 0.00
- energy of formation (eV/atom) = 0.176
- total energy (eV per formula unit) = -59.80
- mass density (Mg/m³) = 6.96
- N(E_F) (states/eV per cell) = 16.56
- symmetry = C2/m, No. 12

***

Below is an optimized crystal structure of Cu2SbAs, with properties calculated at the PBE-GGA level.

Lattice parameters (Å, degrees): 4.030 4.030 16.526 90.00 90.00 120.00
Fractional positions:
Cu 0.000 0.000 0.000
Cu 0.000 0.000 0.281
Cu 0.333 0.667 0.667
Cu 0.333 0.667 0.947
Cu 0.667 0.333 0.333
Cu 0.667 0.333 0.614
Sb 0.000 0.000 0.745
Sb 0.333 0.667 0.412
Sb 0.667 0.333 0.078
As 0.000 0.000 0.567
As 0.333 0.667 0.234
As 0.667 0.333 0.901

- calculated volume (Å³/atom) = 19.4
- formation energy from raw total energies (meV per atom) = 114
- total magnetization (μB/f.u.) = 0.00
- total energy (eV per formula unit) = -16.51
- mass density (Mg/m³) = 6.94
- N(E_F) (states/eV per cell) = 4.11
- symmetry = R3m, No. 160